A plane-wave DFT calculation with GGA+U was carried out for a geometry-optimized NiSbN2F structure.

CIF file:
```
data_NiSbN2F
_cell_length_a 3.908
_cell_length_b 3.908
_cell_length_c 3.809
_cell_angle_alpha 90.00
_cell_angle_beta 90.00
_cell_angle_gamma 90.00
_symmetry_space_group_name_H-M 'P 4/m m m'
_symmetry_Int_Tables_number 123
_symmetry_space_group_name_Hall '-P 4 2'
loop_
_atom_site_label
_atom_site_fract_x
_atom_site_fract_y
_atom_site_fract_z
Ni1 0.000 0.000 0.000
Sb1 0.500 0.500 0.500
N1 0.000 0.500 0.000
F1 0.000 0.000 0.500
```

Properties
The calculation puts the total energy at -22.59 eV/f.u. The value obtained for the theoretical density is 6.49 g/cm3.